Record 1
AlAgIr2 at its PBEsol-relaxed geometry. Source: Alexandria via LeMat-Bulk, functional meta-GGA SCAN.

## Properties
The space group is C2/m, No. 12. The crystal system is monoclinic. For the formation energy, the calculation gives -246.6 meV per atom. As for the density of states at the Fermi level: 1.9 states/eV/f.u.

abc: 2.7995 4.6787 4.8474
angles: 106.36 106.78 90.00
Element x y z (fractional)
Al 0.0000 0.5000 0.0000
Ir 0.7288 0.7322 0.4576
Ag 0.5000 0.0000 0.0000
Ir 0.2712 0.2678 0.5424

***

Record 2
K2AlAg at its PBEsol-relaxed geometry. Source: Alexandria via LeMat-Bulk, functional meta-GGA SCAN.

## Properties
The space group is Imm2, No. 44. The crystal system is orthorhombic. For the formation energy, the calculation gives 113.3 meV per atom. As for the density of states at the Fermi level: 2.2 states/eV/f.u.

abc: 4.0670 5.8889 6.6102
angles: 116.45 107.92 90.00
Element x y z (fractional)
Ag 0.5571 0.5571 0.1142
K 0.7816 0.2816 0.5631
K 0.9739 0.9739 0.9478
Al 0.1875 0.6875 0.3749

***

Record 3
KAl2Ag at its PBEsol-relaxed geometry. Source: Alexandria via LeMat-Bulk, functional meta-GGA SCAN.

## Properties
The space group is Cm, No. 8. The crystal system is monoclinic. For the formation energy, the calculation gives 134.4 meV per atom. As for the density of states at the Fermi level: 1.4 states/eV/f.u.

abc: 3.0027 4.6811 7.1760
angles: 96.26 90.00 108.71
Element x y z (fractional)
K 0.5000 0.0000 0.4983
Ag 0.7324 0.4648 0.1577
Al 0.0020 0.0041 0.0055
Al 0.2656 0.5313 0.8384

***

Record 4
KAl4Ag at its PBEsol-relaxed geometry. Source: Alexandria via LeMat-Bulk, functional meta-GGA SCAN.

## Properties
The space group is F-43m, No. 216. The crystal system is cubic. For the formation energy, the calculation gives 279.5 meV per atom. As for the density of states at the Fermi level: 1.8 states/eV/f.u.

abc: 5.5689 5.5689 5.5689
angles: 60.00 60.00 60.00
Element x y z (fractional)
K 0.7500 0.7500 0.7500
Al 0.8734 0.3755 0.3755
Ag 0.0000 0.0000 0.0000
Al 0.3755 0.3755 0.8734
Al 0.3755 0.8734 0.3755
Al 0.3755 0.3755 0.3755

***

Record 5
K2AlAg at its PBEsol-relaxed geometry. Source: Alexandria via LeMat-Bulk, functional meta-GGA SCAN.

## Properties
The space group is Amm2, No. 38. The crystal system is orthorhombic. For the formation energy, the calculation gives 116.5 meV per atom. As for the density of states at the Fermi level: 2.2 states/eV/f.u.

abc: 4.5553 5.1758 6.6090
angles: 113.05 90.00 90.00
Element x y z (fractional)
K 0.0000 0.9731 0.9462
Ag 0.0000 0.6688 0.3377
Al 0.5000 0.5804 0.1608
K 0.5000 0.2766 0.5532

***

Record 6
K2AlAg at its PBEsol-relaxed geometry. Source: Alexandria via LeMat-Bulk, functional meta-GGA SCAN.

## Properties
The space group is I-42d, No. 122. The crystal system is tetragonal. For the formation energy, the calculation gives 203.4 meV per atom. As for the density of states at the Fermi level: 2.6 states/eV/f.u.

abc: 4.9328 8.8718 8.8718
angles: 85.57 73.86 73.86
Element x y z (fractional)
K 0.3750 0.6638 0.8362
K 0.8750 0.3362 0.1638
Al 0.5000 0.0000 0.0000
K 0.9612 0.1638 0.6638
Ag 0.7500 0.5000 0.5000
K 0.7888 0.8362 0.3362
Ag 0.0000 0.0000 0.0000
Al 0.2500 0.5000 0.5000